# 1
Below is crystalline Rb2LiH6Rh at its relaxed geometry, with properties calculated at the PBE level.

```
data_Rb2LiH6Rh
_symmetry_space_group_name_H-M 'P -3 m 1'
_symmetry_Int_Tables_number 164
_symmetry_space_group_name_Hall '-P 3 2"'
_cell_length_a 5.9480
_cell_length_b 5.9480
_cell_length_c 4.9067
_cell_angle_alpha 90.00
_cell_angle_beta 90.00
_cell_angle_gamma 120.00
loop_
_atom_site_label
_atom_site_type_symbol
_atom_site_fract_x
_atom_site_fract_y
_atom_site_fract_z
Rb1 Rb 0.3333 0.6667 0.2568
Li1 Li 0.0000 0.0000 0.0000
H1 H 0.1330 0.2661 0.7000
Rh1 Rh 0.0000 0.0000 0.5000
```

DOS(E_F)   0.0 states/eV/f.u.
Total DFT energy (no corrections)   -3.5295 eV per atom

---

# 2
Below is crystalline Li2AcSn3 at its relaxed geometry, with properties calculated at the PBE level.

```
data_Li2AcSn3
_symmetry_space_group_name_H-M 'C m c m'
_symmetry_Int_Tables_number 63
_symmetry_space_group_name_Hall '-C 2c 2'
_cell_length_a 11.0434
_cell_length_b 8.7510
_cell_length_c 6.3252
_cell_angle_alpha 90.00
_cell_angle_beta 90.00
_cell_angle_gamma 90.00
loop_
_atom_site_label
_atom_site_type_symbol
_atom_site_fract_x
_atom_site_fract_y
_atom_site_fract_z
Li1 Li 0.2108 0.0000 0.0000
Ac1 Ac 0.0000 0.3385 0.2500
Sn1 Sn 0.0000 0.0503 0.7500
Sn2 Sn 0.1833 0.2885 0.7500
```

E_form   -0.425 eV/atom
DOS(E_F)   2.2 states/eV/f.u.

---

# 3
Below is crystalline Pm2Ho3Er2 at its relaxed geometry, with properties calculated at the PBE level.

```
data_Pm2Ho3Er2
_symmetry_space_group_name_H-M 'C 1 2/m 1'
_symmetry_Int_Tables_number 12
_symmetry_space_group_name_Hall '-C 2y'
_cell_length_a 17.4475
_cell_length_b 3.4976
_cell_length_c 8.5027
_cell_angle_alpha 90.00
_cell_angle_beta 119.13
_cell_angle_gamma 90.00
loop_
_atom_site_label
_atom_site_type_symbol
_atom_site_fract_x
_atom_site_fract_y
_atom_site_fract_z
Pm1 Pm 0.0666 0.0000 0.2210
Ho1 Ho 0.0000 0.5000 0.5000
Ho2 Ho 0.2115 0.5000 0.6241
Er1 Er 0.1499 0.5000 0.9666
```

E_form   0.122 eV/atom
DOS(E_F)   10.6 states/eV/f.u.
Distance to the lowest polymorph of the same formula   0 meV/atom

---

# 4
Below is crystalline TiRe3Ge at its relaxed geometry, with properties calculated at the PBE level.

```
data_TiRe3Ge
_symmetry_space_group_name_H-M 'P m -3 m'
_symmetry_Int_Tables_number 221
_symmetry_space_group_name_Hall '-P 4 2 3'
_cell_length_a 4.5141
_cell_length_b 4.5141
_cell_length_c 4.5141
_cell_angle_alpha 90.00
_cell_angle_beta 90.00
_cell_angle_gamma 90.00
loop_
_atom_site_label
_atom_site_type_symbol
_atom_site_fract_x
_atom_site_fract_y
_atom_site_fract_z
Ti1 Ti 0.0000 0.0000 0.0000
Re1 Re 0.0000 0.5000 0.5000
Ge1 Ge 0.5000 0.5000 0.5000
```

E_form   1.423 eV/atom
DOS(E_F)   8.8 states/eV/f.u.
Distance to the lowest polymorph of the same formula   0 meV/atom

---

# 5
Below is crystalline HfSn2Mo2 at its relaxed geometry, with properties calculated at the PBE level.

```
data_HfSn2Mo2
_symmetry_space_group_name_H-M 'P 4/m b m'
_symmetry_Int_Tables_number 127
_symmetry_space_group_name_Hall '-P 4 2ab'
_cell_length_a 7.7794
_cell_length_b 7.7794
_cell_length_c 3.2628
_cell_angle_alpha 90.00
_cell_angle_beta 90.00
_cell_angle_gamma 90.00
loop_
_atom_site_label
_atom_site_type_symbol
_atom_site_fract_x
_atom_site_fract_y
_atom_site_fract_z
Hf1 Hf 0.0000 0.0000 0.0000
Sn1 Sn 0.1749 0.3251 0.5000
Mo1 Mo 0.1190 0.6190 0.0000
```

E_form   0.221 eV/atom
DOS(E_F)   4.9 states/eV/f.u.
Distance to the lowest polymorph of the same formula   0 meV/atom

---

# 6
Below is crystalline BaTlBr2 at its relaxed geometry, with properties calculated at the PBE level.

```
data_BaTlBr2
_symmetry_space_group_name_H-M 'I m m 2'
_symmetry_Int_Tables_number 44
_symmetry_space_group_name_Hall 'I 2 -2'
_cell_length_a 4.4177
_cell_length_b 4.8261
_cell_length_c 14.4358
_cell_angle_alpha 90.00
_cell_angle_beta 90.00
_cell_angle_gamma 90.00
loop_
_atom_site_label
_atom_site_type_symbol
_atom_site_fract_x
_atom_site_fract_y
_atom_site_fract_z
Ba1 Ba 0.0000 0.0000 0.0000
Tl1 Tl 0.0000 0.5000 0.2266
Br1 Br 0.0000 0.0000 0.4449
Br2 Br 0.0000 0.5000 0.6686
```

ΔE_f (raw)   -1.291 eV per atom
DOS(E_F)   1.9 states/eV/f.u.
Distance to the lowest polymorph of the same formula   42 meV/atom

---

# 7
Below is crystalline Mg4BiAu3 at its relaxed geometry, with properties calculated at the PBE level.

```
data_Mg4BiAu3
_symmetry_space_group_name_H-M 'R -3 m'
_symmetry_Int_Tables_number 166
_symmetry_space_group_name_Hall '-R 3 2"'
_cell_length_a 4.7210
_cell_length_b 4.7210
_cell_length_c 25.4778
_cell_angle_alpha 90.00
_cell_angle_beta 90.00
_cell_angle_gamma 120.00
loop_
_atom_site_label
_atom_site_type_symbol
_atom_site_fract_x
_atom_site_fract_y
_atom_site_fract_z
Mg1 Mg 0.0000 0.0000 0.1100
Mg2 Mg 0.0000 0.0000 0.3701
Bi1 Bi 0.0000 0.0000 0.5000
Au1 Au 0.0000 0.0000 0.0000
Au2 Au 0.0000 0.0000 0.2607
```

E_form   -0.453 eV/atom
DOS(E_F)   2.9 states/eV/f.u.

---

# 8
Below is crystalline Ba2TaAs2 at its relaxed geometry, with properties calculated at the PBE level.

```
data_Ba2TaAs2
_symmetry_space_group_name_H-M 'I 4/m m m'
_symmetry_Int_Tables_number 139
_symmetry_space_group_name_Hall '-I 4 2'
_cell_length_a 3.7461
_cell_length_b 3.7461
_cell_length_c 21.8000
_cell_angle_alpha 90.00
_cell_angle_beta 90.00
_cell_angle_gamma 90.00
loop_
_atom_site_label
_atom_site_type_symbol
_atom_site_fract_x
_atom_site_fract_y
_atom_site_fract_z
Ba1 Ba 0.0000 0.0000 0.1167
Ta1 Ta 0.0000 0.0000 0.5000
As1 As 0.0000 0.5000 0.2500
```

E_form   0.470 eV/atom
DOS(E_F)   5.1 states/eV/f.u.
Distance to the lowest polymorph of the same formula   808 meV/atom

---

# 9
Below is crystalline PrY2CdO at its relaxed geometry, with properties calculated at the PBE level.

```
data_PrY2CdO
_symmetry_space_group_name_H-M 'P 4/m m m'
_symmetry_Int_Tables_number 123
_symmetry_space_group_name_Hall '-P 4 2'
_cell_length_a 4.8228
_cell_length_b 4.8228
_cell_length_c 5.0138
_cell_angle_alpha 90.00
_cell_angle_beta 90.00
_cell_angle_gamma 90.00
loop_
_atom_site_label
_atom_site_type_symbol
_atom_site_fract_x
_atom_site_fract_y
_atom_site_fract_z
Pr1 Pr 0.0000 0.0000 0.0000
Y1 Y 0.0000 0.5000 0.5000
Cd1 Cd 0.5000 0.5000 0.0000
O1 O 0.0000 0.0000 0.5000
```

ΔE_f (raw)   -1.296 eV per atom
DOS(E_F)   2.7 states/eV/f.u.

---

# 10
Below is crystalline Ca2Os2Pb at its relaxed geometry, with properties calculated at the PBE level.

```
data_Ca2Os2Pb
_symmetry_space_group_name_H-M 'I 4/m m m'
_symmetry_Int_Tables_number 139
_symmetry_space_group_name_Hall '-I 4 2'
_cell_length_a 4.5896
_cell_length_b 4.5896
_cell_length_c 12.1855
_cell_angle_alpha 90.00
_cell_angle_beta 90.00
_cell_angle_gamma 90.00
loop_
_atom_site_label
_atom_site_type_symbol
_atom_site_fract_x
_atom_site_fract_y
_atom_site_fract_z
Ca1 Ca 0.0000 0.5000 0.2500
Os1 Os 0.0000 0.0000 0.0951
Pb1 Pb 0.0000 0.0000 0.5000
```

E_form   0.973 eV/atom
DOS(E_F)   5.2 states/eV/f.u.

---

# 11
Below is crystalline PrYW2N6 at its relaxed geometry, with properties calculated at the PBE level.

```
data_PrYW2N6
_symmetry_space_group_name_H-M 'C 1 2/c 1'
_symmetry_Int_Tables_number 15
_symmetry_space_group_name_Hall '-C 2yc'
_cell_length_a 11.3944
_cell_length_b 9.8360
_cell_length_c 6.4798
_cell_angle_alpha 90.00
_cell_angle_beta 113.08
_cell_angle_gamma 90.00
loop_
_atom_site_label
_atom_site_type_symbol
_atom_site_fract_x
_atom_site_fract_y
_atom_site_fract_z
Pr1 Pr 0.0000 0.0959 0.2500
Y1 Y 0.0000 0.2899 0.7500
W1 W 0.2090 0.4138 0.2111
N1 N 0.1148 0.1139 0.6657
N2 N 0.1272 0.2528 0.1448
N3 N 0.1510 0.4872 0.9161
```

ΔE_f (raw)   -0.938 eV per atom
DOS(E_F)   0.0 states/eV/f.u.

---

# 12
Below is crystalline BaSr3I at its relaxed geometry, with properties calculated at the PBE level.

```
data_BaSr3I
_symmetry_space_group_name_H-M 'P m -3 m'
_symmetry_Int_Tables_number 221
_symmetry_space_group_name_Hall '-P 4 2 3'
_cell_length_a 6.6038
_cell_length_b 6.6038
_cell_length_c 6.6038
_cell_angle_alpha 90.00
_cell_angle_beta 90.00
_cell_angle_gamma 90.00
loop_
_atom_site_label
_atom_site_type_symbol
_atom_site_fract_x
_atom_site_fract_y
_atom_site_fract_z
Ba1 Ba 0.0000 0.0000 0.0000
Sr1 Sr 0.0000 0.5000 0.5000
I1 I 0.5000 0.5000 0.5000
```

ΔE_f (raw)   -0.244 eV per atom
DOS(E_F)   10.8 states/eV/f.u.
Distance to the lowest polymorph of the same formula   0 meV/atom

---

# 13
Below is crystalline Be2HgC at its relaxed geometry, with properties calculated at the PBE level.

```
data_Be2HgC
_symmetry_space_group_name_H-M 'I 41/a m d'
_symmetry_Int_Tables_number 141
_cell_length_a 5.5194
_cell_length_b 5.5194
_cell_length_c 7.7961
_cell_angle_alpha 90.00
_cell_angle_beta 90.00
_cell_angle_gamma 90.00
loop_
_symmetry_equiv_pos_as_xyz
'x,y,z'
'-x,-y,-z'
'-y+1/4,x+3/4,z+1/4'
'y+1/4,-x+3/4,-z+1/4'
'-x+1/2,-y,z+1/2'
'x+1/2,y,-z+1/2'
'y+1/4,-x+1/4,z+3/4'
'-y+1/4,x+1/4,-z+3/4'
'x,-y,-z'
'-x,y,z'
'-y+1/4,-x+1/4,-z+3/4'
'y+1/4,x+1/4,z+3/4'
'-x+1/2,y,-z+1/2'
'x+1/2,-y,z+1/2'
'y+1/4,x+3/4,-z+1/4'
'-y+1/4,-x+3/4,z+1/4'
'x+1/2,y+1/2,z+1/2'
'-x+1/2,-y+1/2,-z+1/2'
'-y+3/4,x+1/4,z+3/4'
'y+3/4,-x+1/4,-z+3/4'
'-x,-y+1/2,z'
'x,y+1/2,-z'
'y+3/4,-x+3/4,z+1/4'
'-y+3/4,x+3/4,-z+1/4'
'x+1/2,-y+1/2,-z+1/2'
'-x+1/2,y+1/2,z+1/2'
'-y+3/4,-x+3/4,-z+1/4'
'y+3/4,x+3/4,z+1/4'
'-x,y+1/2,-z'
'x,-y+1/2,z'
'y+3/4,x+1/4,-z+3/4'
'-y+3/4,-x+1/4,z+3/4'
loop_
_atom_site_label
_atom_site_type_symbol
_atom_site_fract_x
_atom_site_fract_y
_atom_site_fract_z
Be1 Be 0.0000 0.0000 0.0000
Hg1 Hg 0.0000 0.2500 0.3750
C1 C 0.0000 0.2500 0.8750
```

E_form   0.291 eV/atom
DOS(E_F)   0.0 states/eV/f.u.
Distance to the lowest polymorph of the same formula   0 meV/atom

---

# 14
Below is crystalline LaPSe2 at its relaxed geometry, with properties calculated at the PBE level.

```
data_LaPSe2
_symmetry_space_group_name_H-M 'R -3 m'
_symmetry_Int_Tables_number 166
_symmetry_space_group_name_Hall '-R 3 2"'
_cell_length_a 4.5585
_cell_length_b 4.5585
_cell_length_c 24.1831
_cell_angle_alpha 90.00
_cell_angle_beta 90.00
_cell_angle_gamma 120.00
loop_
_atom_site_label
_atom_site_type_symbol
_atom_site_fract_x
_atom_site_fract_y
_atom_site_fract_z
La1 La 0.0000 0.0000 0.0000
P1 P 0.0000 0.0000 0.5000
Se1 Se 0.0000 0.0000 0.3955
```

ΔE_f (raw)   -0.654 eV per atom
DOS(E_F)   0.0 states/eV/f.u.

---

# 15
Below is crystalline Cs2BAuBr at its relaxed geometry, with properties calculated at the PBE level.

```
data_Cs2BAuBr
_symmetry_space_group_name_H-M 'P 4/m m m'
_symmetry_Int_Tables_number 123
_symmetry_space_group_name_Hall '-P 4 2'
_cell_length_a 6.9493
_cell_length_b 6.9493
_cell_length_c 5.2609
_cell_angle_alpha 90.00
_cell_angle_beta 90.00
_cell_angle_gamma 90.00
loop_
_atom_site_label
_atom_site_type_symbol
_atom_site_fract_x
_atom_site_fract_y
_atom_site_fract_z
Cs1 Cs 0.0000 0.5000 0.0000
B1 B 0.0000 0.0000 0.5000
Au1 Au 0.5000 0.5000 0.5000
Br1 Br 0.5000 0.5000 0.0000
```

ΔE_f (raw)   0.549 eV per atom
DOS(E_F)   11.2 states/eV/f.u.

---

# 16
Below is crystalline SmDyPu2 at its relaxed geometry, with properties calculated at the PBE level.

```
data_SmDyPu2
_symmetry_space_group_name_H-M 'P 4/m m m'
_symmetry_Int_Tables_number 123
_symmetry_space_group_name_Hall '-P 4 2'
_cell_length_a 3.4258
_cell_length_b 3.4258
_cell_length_c 10.1266
_cell_angle_alpha 90.00
_cell_angle_beta 90.00
_cell_angle_gamma 90.00
loop_
_atom_site_label
_atom_site_type_symbol
_atom_site_fract_x
_atom_site_fract_y
_atom_site_fract_z
Sm1 Sm 0.0000 0.0000 0.0000
Dy1 Dy 0.0000 0.0000 0.5000
Pu1 Pu 0.5000 0.5000 0.2532
```

E_form   0.194 eV/atom
DOS(E_F)   14.7 states/eV/f.u.
Distance to the lowest polymorph of the same formula   0 meV/atom

---

# 17
Below is crystalline Zn2SiW at its relaxed geometry, with properties calculated at the PBE level.

```
data_Zn2SiW
_symmetry_space_group_name_H-M 'P 4 m m'
_symmetry_Int_Tables_number 99
_symmetry_space_group_name_Hall 'P 4 -2'
_cell_length_a 2.6925
_cell_length_b 2.6925
_cell_length_c 8.4260
_cell_angle_alpha 90.00
_cell_angle_beta 90.00
_cell_angle_gamma 90.00
loop_
_atom_site_label
_atom_site_type_symbol
_atom_site_fract_x
_atom_site_fract_y
_atom_site_fract_z
Zn1 Zn 0.0000 0.0000 0.0000
Zn2 Zn 0.5000 0.5000 0.2421
Si1 Si 0.0000 0.0000 0.5133
W1 W 0.5000 0.5000 0.7506
```

ΔE_f (raw)   0.279 eV per atom
DOS(E_F)   1.5 states/eV/f.u.

---

# 18
Below is crystalline Al2Te2H at its relaxed geometry, with properties calculated at the PBE level.

```
data_Al2Te2H
_symmetry_space_group_name_H-M 'I 4/m m m'
_symmetry_Int_Tables_number 139
_symmetry_space_group_name_Hall '-I 4 2'
_cell_length_a 5.8543
_cell_length_b 5.8543
_cell_length_c 6.2357
_cell_angle_alpha 90.00
_cell_angle_beta 90.00
_cell_angle_gamma 90.00
loop_
_atom_site_label
_atom_site_type_symbol
_atom_site_fract_x
_atom_site_fract_y
_atom_site_fract_z
Al1 Al 0.0000 0.0000 0.2144
Te1 Te 0.0000 0.5000 0.2500
H1 H 0.0000 0.0000 0.5000
```

DOS(E_F)   0.8 states/eV/f.u.
Distance to the lowest polymorph of the same formula   0 meV/atom

---

# 19
Below is crystalline Mg2AlRu at its relaxed geometry, with properties calculated at the PBE level.

```
data_Mg2AlRu
_symmetry_space_group_name_H-M 'P m m m'
_symmetry_Int_Tables_number 47
_symmetry_space_group_name_Hall '-P 2 2'
_cell_length_a 2.9036
_cell_length_b 4.1957
_cell_length_c 5.5197
_cell_angle_alpha 90.00
_cell_angle_beta 90.00
_cell_angle_gamma 90.00
loop_
_atom_site_label
_atom_site_type_symbol
_atom_site_fract_x
_atom_site_fract_y
_atom_site_fract_z
Mg1 Mg 0.0000 0.0000 0.2354
Al1 Al 0.5000 0.5000 0.5000
Ru1 Ru 0.5000 0.5000 0.0000
```

E_form   0.003 eV/atom
DOS(E_F)   2.2 states/eV/f.u.

---

# 20
Below is crystalline ErZr2Pa at its relaxed geometry, with properties calculated at the PBE level.

```
data_ErZr2Pa
_symmetry_space_group_name_H-M 'F m -3 m'
_symmetry_Int_Tables_number 225
_symmetry_space_group_name_Hall '-F 4 2 3'
_cell_length_a 7.3663
_cell_length_b 7.3663
_cell_length_c 7.3663
_cell_angle_alpha 90.00
_cell_angle_beta 90.00
_cell_angle_gamma 90.00
loop_
_atom_site_label
_atom_site_type_symbol
_atom_site_fract_x
_atom_site_fract_y
_atom_site_fract_z
Er1 Er 0.0000 0.0000 0.0000
Zr1 Zr 0.2500 0.2500 0.2500
Pa1 Pa 0.0000 0.0000 0.5000
```

E_form   0.221 eV/atom
DOS(E_F)   10.1 states/eV/f.u.
Distance to the lowest polymorph of the same formula   136 meV/atom